No. 1
# SnTe2Rh

A relaxed structure of SnTe2Rh (GGA-PBE, the Alexandria database).

a = 9.565 Å, b = 9.565 Å, c = 9.565 Å
α = 23.07°, β = 23.07°, γ = 23.07°
Element x y z (fractional)
Te 0.886 0.886 0.886
Te 0.114 0.114 0.114
Rh 0.500 0.500 0.500
Sn 0.000 0.000 0.000

total magnetic moment	0.0	μB/f.u.
ΔE_f (raw)	-17.43	kJ per mole of atoms
raw total energy	-18.360	eV per formula unit

---

No. 2
# SnTeRh2

A relaxed structure of SnTeRh2 (GGA-PBE, the Alexandria database).

a = 6.012 Å, b = 6.428 Å, c = 7.958 Å
α = 90.00°, β = 90.10°, γ = 90.00°
Element x y z (fractional)
Sn 0.198 0.399 0.120
Sn 0.302 0.899 0.880
Sn 0.698 0.101 0.120
Sn 0.802 0.601 0.880
Te 0.697 0.085 0.632
Te 0.197 0.415 0.632
Te 0.303 0.915 0.368
Te 0.803 0.585 0.368
Rh 0.507 0.694 0.131
Rh 0.007 0.806 0.131
Rh 0.989 0.196 0.380
Rh 0.993 0.194 0.869
Rh 0.011 0.804 0.620
Rh 0.511 0.696 0.620
Rh 0.493 0.306 0.869
Rh 0.489 0.304 0.380

total magnetic moment	0.0	μB/f.u.
ΔE_f (raw)	-41.49	kJ per mole of atoms
raw total energy	-23.567	eV per formula unit

---

- Look up the ΔE_f (raw) of the first one.
  -17.43 kJ per mole of atoms

---

- Number 1 is which compound?
  SnTe2Rh

---

- Which of these has the highest ΔE_f (raw)?
  SnTe2Rh

---

- Look up the ΔE_f (raw) of the first one.
  -17.43 kJ per mole of atoms